The following is a DFT calculation (PBE) of a geometry-optimized Tl2InWCl structure.

Properties
Raw total energy = -0.1195 hartree per atom
Crystal system = tetragonal
M_tot = 0.885 μB/atom

Lattice parameters (Å, degrees): 5.682 5.682 5.528 90.00 90.00 90.00
Space group P4/mmm (No. 123)
Unique sites:
1 Tl 0.000 0.500 0.000 [2 per cell]
2 In 0.000 0.000 0.500 [1 per cell]
3 W 0.500 0.500 0.500 [1 per cell]
4 Cl 0.000 0.000 0.000 [1 per cell]